# LiBeP2Pb

A relaxed structure of LiBeP2Pb (GGA-PBE, Alexandria).

Geometry as POSCAR:
```
LiBeP2Pb
1.0
4.290 0.000 0.000
0.000 4.290 0.000
0.000 0.000 5.313
Li Be P Pb
1 1 2 1
direct
0.000 0.000 0.000
0.500 0.500 0.500
0.000 0.500 0.500
0.500 0.000 0.500
0.500 0.500 0.000
```

**Spin magnetization**: 0.00 μB per formula unit
**DFT formation energy**: 8.064 kcal/mol of atoms


# Pm3Sm3ErS8

A relaxed structure of Pm3Sm3ErS8 (GGA-PBE, Alexandria).

Geometry as POSCAR:
```
Pm3Sm3ErS8
1.0
4.003 2.311 6.549
-4.003 2.311 6.549
0.000 -4.622 6.549
Pm Sm Er S
3 3 1 8
direct
0.000 0.500 0.500
0.500 0.000 0.500
0.500 0.500 0.000
0.000 0.000 0.500
0.000 0.500 0.000
0.500 0.000 0.000
0.500 0.500 0.500
0.249 0.249 0.249
0.255 0.743 0.743
0.257 0.257 0.745
0.257 0.745 0.257
0.743 0.255 0.743
0.743 0.743 0.255
0.745 0.257 0.257
0.751 0.751 0.751
```

**Formation energy from raw total energies**: -2060.1 meV per atom
**Spin magnetization**: 0.00 μB per formula unit


# Ta2FeGeSe

A relaxed structure of Ta2FeGeSe (GGA-PBE, Alexandria).

Geometry as POSCAR:
```
Ta2FeGeSe
1.0
4.870 0.000 0.000
0.000 4.870 0.000
0.000 0.000 4.238
Ta Fe Ge Se
2 1 1 1
direct
0.000 0.500 0.000
0.500 0.000 0.000
0.000 0.000 0.500
0.000 0.000 0.000
0.500 0.500 0.500
```

**Formation energy from raw total energies**: 1086.9 meV per atom
**Spin magnetization**: 1.93 μB per formula unit


# SrRe2AgHg

A relaxed structure of SrRe2AgHg (GGA-PBE, Alexandria).

Geometry as POSCAR:
```
SrRe2AgHg
1.0
5.130 0.000 0.000
0.000 5.130 0.000
0.000 0.000 5.763
Sr Re Ag Hg
1 2 1 1
direct
0.000 0.000 0.000
0.000 0.500 0.500
0.500 0.000 0.500
0.500 0.500 0.000
0.000 0.000 0.500
```

**Spin magnetization**: 5.67 μB per formula unit
**DFT formation energy**: 48.961 kcal/mol of atoms


# AcTlHg14

A relaxed structure of AcTlHg14 (GGA-PBE, Alexandria).

Geometry as POSCAR:
```
AcTlHg14
1.0
-5.767 6.668 6.176
5.767 -6.668 6.176
5.767 6.668 -6.176
Ac Tl Hg
2 2 28
direct
0.388 0.138 0.250
0.612 0.862 0.750
0.000 0.000 0.500
0.000 0.500 0.000
0.020 0.644 0.377
0.036 0.901 0.135
0.117 0.252 0.395
0.117 0.722 0.864
0.221 0.038 0.891
0.221 0.330 0.183
0.233 0.356 0.877
0.241 0.613 0.628
0.265 0.901 0.365
0.353 0.670 0.391
0.353 0.962 0.683
0.357 0.252 0.636
0.357 0.722 0.105
0.485 0.613 0.872
0.515 0.387 0.128
0.643 0.278 0.895
0.643 0.748 0.364
0.647 0.038 0.317
0.647 0.330 0.609
0.735 0.099 0.635
0.759 0.387 0.372
0.767 0.644 0.123
0.779 0.670 0.817
0.779 0.962 0.109
0.883 0.278 0.136
0.883 0.748 0.605
0.964 0.099 0.865
0.980 0.356 0.623
```

**Spin magnetization**: 0.00 μB per formula unit
**DFT formation energy**: -1.285 kcal/mol of atoms


# Ac2ZnHg4

A relaxed structure of Ac2ZnHg4 (GGA-PBE, Alexandria).

Geometry as POSCAR:
```
Ac2ZnHg4
1.0
5.024 0.000 0.000
0.000 5.024 0.000
0.000 0.000 17.201
Ac Zn Hg
4 2 8
direct
0.000 0.000 0.145
0.000 0.000 0.855
0.500 0.500 0.355
0.500 0.500 0.645
0.000 0.000 0.500
0.500 0.500 0.000
0.000 0.000 0.334
0.000 0.000 0.666
0.000 0.500 0.000
0.000 0.500 0.500
0.500 0.000 0.000
0.500 0.000 0.500
0.500 0.500 0.166
0.500 0.500 0.834
```

**Spin magnetization**: 0.00 μB per formula unit
**DFT formation energy**: -4.888 kcal/mol of atoms
**Energy above the most stable polymorph in this dataset**: 0.896 eV/f.u.


# NaFe3C

A relaxed structure of NaFe3C (GGA-PBE, Alexandria).

Geometry as POSCAR:
```
NaFe3C
1.0
4.397 0.000 0.000
0.000 4.397 0.000
0.000 0.000 4.397
Na Fe C
1 3 1
direct
0.000 0.000 0.000
0.000 0.000 0.500
0.000 0.500 0.000
0.500 0.000 0.000
0.500 0.500 0.500
```

**Spin magnetization**: 8.85 μB per formula unit
**DFT formation energy**: 70.317 kcal/mol of atoms
**Energy above the most stable polymorph in this dataset**: 13.058 eV/f.u.


# BaLiBi2

A relaxed structure of BaLiBi2 (GGA-PBE, Alexandria).

Geometry as POSCAR:
```
BaLiBi2
1.0
5.741 0.000 0.000
0.000 5.741 0.000
0.000 0.000 19.002
Ba Li Bi
4 4 8
direct
0.000 0.000 0.000
0.000 0.500 0.250
0.500 0.000 0.750
0.500 0.500 0.500
0.000 0.000 0.500
0.000 0.500 0.750
0.500 0.000 0.250
0.500 0.500 0.000
0.114 0.250 0.625
0.250 0.614 0.875
0.250 0.886 0.375
0.386 0.250 0.125
0.614 0.750 0.125
0.750 0.114 0.375
0.750 0.386 0.875
0.886 0.750 0.625
```

**Spin magnetization**: 0.00 μB per formula unit
**DFT formation energy**: -11.417 kcal/mol of atoms
**Energy above the most stable polymorph in this dataset**: 0.525 eV/f.u.


For reference, VASP energy by record: -3.684, -6.460, -6.967, -3.823, -0.724, -1.740, -4.137, -3.395 eV per atom.